[1]
Density functional theory data (PBE-GGA) for an optimized crystal structure of BaLuIn2.

Geometry as POSCAR:
```
BaLuIn2
1.0
1.9032 1.0988 10.4232
-1.9032 1.0988 10.4232
0.0000 -2.1976 10.4232
Ba Lu In
1 1 2
Direct
0.0000 0.0000 0.0000 Ba
0.5000 0.5000 0.5000 Lu
0.2417 0.2417 0.2417 In
0.7583 0.7583 0.7583 In
```

Computed properties:
volume: 130.79 Å³ per cell
formation energy from the elements: -0.16 eV/atom
space group: R-3m (166)
mass density: 6.9 Mg/m³
crystal system: trigonal

[2]
Density functional theory data (PBE-GGA) for an optimized crystal structure of BaLuIn2.

Geometry as POSCAR:
```
BaLuIn2
1.0
5.7325 0.0000 0.0000
0.0000 5.7325 0.0000
0.0000 0.0000 3.8681
Ba Lu In
1 1 2
Direct
0.0000 0.0000 0.0000 Ba
0.5000 0.5000 0.0000 Lu
0.0000 0.5000 0.5000 In
0.5000 0.0000 0.5000 In
```

Computed properties:
volume: 127.11 Å³ per cell
formation energy from the elements: -0.22 eV/atom
space group: P4/mmm (123)
mass density: 7.1 Mg/m³
crystal system: tetragonal